No. 1
! CsRbInAu3 (PBE, relaxed); values from VASP
&SYSTEM
  ibrav = 0, nat = 12, ntyp = 4
/
ATOMIC_SPECIES
Cs 132.91 Cs.upf
Au 196.97 Au.upf
In 114.82 In.upf
Rb 85.47 Rb.upf
CELL_PARAMETERS angstrom
-3.907 -1.269 4.047
5.045 -0.440 4.733
-0.969 8.914 1.861
ATOMIC_POSITIONS angstrom
Cs -3.060 0.242 3.285
Au -2.208 5.848 5.866
In -1.388 3.467 1.802
Rb -0.768 2.142 6.094
Au 2.522 -0.220 2.366
Rb 0.937 5.063 4.547
Au 2.377 1.357 4.775
Cs -1.816 7.403 2.624
In -3.488 4.178 4.106
Au 0.569 -0.855 4.390
Au -0.114 5.666 7.830
Au 0.283 1.540 2.811
! * space group: No. 51
! * total DFT energy (no corrections): -2.71 eV per atom

No. 2
! CsSrIn4Au2 (PBE, relaxed); values from VASP
&SYSTEM
  ibrav = 0, nat = 8, ntyp = 4
/
ATOMIC_SPECIES
In 114.82 In.upf
Cs 132.91 Cs.upf
Au 196.97 Au.upf
Sr 87.62 Sr.upf
CELL_PARAMETERS angstrom
8.209 0.000 0.000
0.000 2.391 5.804
0.000 -2.391 5.804
ATOMIC_POSITIONS angstrom
In 6.558 0.000 9.879
In 5.642 0.000 1.729
Cs 0.000 0.000 6.523
In 2.567 0.000 1.729
In 1.651 0.000 9.879
Au 4.105 0.000 8.369
Sr 4.105 0.000 5.078
Au 0.000 0.000 3.244
! * space group: No. 38
! * total DFT energy (no corrections): -2.82 eV per atom

No. 3
! CsTl3In3Au4 (PBE, relaxed); values from VASP
&SYSTEM
  ibrav = 0, nat = 11, ntyp = 4
/
ATOMIC_SPECIES
Cs 132.91 Cs.upf
In 114.82 In.upf
Au 196.97 Au.upf
Tl 204.38 Tl.upf
CELL_PARAMETERS angstrom
8.468 0.000 0.000
-4.234 7.334 0.000
0.000 0.000 4.611
ATOMIC_POSITIONS angstrom
Cs 0.000 0.000 0.000
In 0.000 6.822 0.000
In -1.674 3.923 0.000
In 1.674 3.923 0.000
Au 1.508 5.760 2.305
Tl 4.234 4.465 2.305
Au -1.508 5.760 2.305
Au 4.234 2.445 0.000
Tl 2.484 1.434 2.305
Au 0.000 3.148 2.305
Tl 5.984 1.434 2.305
! * space group: No. 187
! * total DFT energy (no corrections): -2.85 eV per atom

No. 4
! CsIrAu (PBE, relaxed); values from VASP
&SYSTEM
  ibrav = 0, nat = 3, ntyp = 3
/
ATOMIC_SPECIES
Ir 192.22 Ir.upf
Au 196.97 Au.upf
Cs 132.91 Cs.upf
CELL_PARAMETERS angstrom
-4.051 -2.647 0.496
-3.182 1.059 3.524
-4.321 1.932 -1.124
ATOMIC_POSITIONS angstrom
Ir 0.000 0.000 0.000
Au -2.889 0.086 0.724
Cs -8.666 0.258 2.171
! * space group: No. 216
! * total DFT energy (no corrections): -3.08 eV per atom

> total DFT energy (no corrections) of number 2 (CsSrIn4Au2)?

-2.82 eV per atom